Computed, not measured: a geometry-optimized Y2ZnAs2O structure at the PBE-GGA level of DFT.

Its total energy is -30.8 eV for the cell shown. The calculation puts the density of states at the Fermi level at 3.78 states/eV per cell. The value obtained for the volume is 27.12 Å³ per atom.

It has space group P4/mmm (No. 123), with a = 3.342 Å, b = 3.342 Å, c = 14.571 Å, α = 90.00°, β = 90.00° and γ = 90.00°. The distinct sites, in fractional coordinates, are Y at (0.000, 0.000, 0.139), Zn at (0.000, 0.000, 0.500), As at (0.000, 0.000, 0.339) and O at (0.000, 0.000, 0.000).